(P)
First-principles (meta-GGA SCAN) data for Al2CoOs at its PBEsol-relaxed geometry, as listed in the Alexandria database.

Cell: 4.1314 4.1314 4.1314 Å, 60.00 60.00 60.00°
Element x y z (fractional)
1 Al 0.2500 0.2500 0.2500
2 Al 0.7500 0.7500 0.7500
3 Co 0.0000 0.0000 0.0000
4 Os 0.5000 0.5000 0.5000

Size of the total moment ... 0.001 μB per atom
Space-group type ... Fm-3m

***

(Q)
First-principles (meta-GGA SCAN) data for Al2CoOs at its PBEsol-relaxed geometry, as listed in the Alexandria database.

Cell: 4.1031 4.1031 2.9730 Å, 90.00 90.00 90.00°
Element x y z (fractional)
1 Al 0.0000 0.5000 0.0000
2 Al 0.5000 0.0000 0.0000
3 Co 0.0000 0.0000 0.5000
4 Os 0.5000 0.5000 0.5000

Size of the total moment ... 0.002 μB per atom
Space-group type ... P4/mmm

***

(R)
First-principles (meta-GGA SCAN) data for Al2CoOs at its PBEsol-relaxed geometry, as listed in the Alexandria database.

Cell: 3.0740 3.0740 5.4897 Å, 90.00 90.00 90.00°
Element x y z (fractional)
1 Al 0.0000 0.0000 0.0000
2 Al 0.5000 0.5000 0.2878
3 Co 0.0000 0.0000 0.4868
4 Os 0.5000 0.5000 0.7758

Size of the total moment ... 0.385 μB per atom
Space-group type ... P4mm

***

Most stable: (P). Least stable: (R).